Record 1
Entry from Alexandria: a relaxed ZrMnP2 crystal (PBE-GGA). Values from VASP.

Formation enthalpy at 0 K, eV per atom: -0.64
Total magnetization, Bohr magnetons per cell: 2.26
Electronic total energy, eV/atom: -7.78
Energy relative to the lowest polymorph listed for this composition, kcal/mol of atoms: 2.21

Cell and atoms, written as Quantum ESPRESSO input:
```
&SYSTEM
  ibrav = 0, nat = 4, ntyp = 3
/
ATOMIC_SPECIES
Zr 91.22 Zr.upf
Mn 54.94 Mn.upf
P 30.97 P.upf
CELL_PARAMETERS angstrom
4.263 0.000 0.000
0.000 1.706 4.669
0.000 -1.706 4.669
ATOMIC_POSITIONS angstrom
Zr 0.000 0.000 0.000
Mn 2.132 0.000 7.122
P 0.000 0.000 6.640
P 2.132 0.000 4.005
```

***

Record 2
Entry from Alexandria: a relaxed ZrMnP2 crystal (PBE-GGA). Values from VASP.

Formation enthalpy at 0 K, eV per atom: -0.74
Total magnetization, Bohr magnetons per cell: 1.08
Electronic total energy, eV/atom: -7.87
Energy relative to the lowest polymorph listed for this composition, kcal/mol of atoms: 0.00

Cell and atoms, written as Quantum ESPRESSO input:
```
&SYSTEM
  ibrav = 0, nat = 4, ntyp = 3
/
ATOMIC_SPECIES
Zr 91.22 Zr.upf
Mn 54.94 Mn.upf
P 30.97 P.upf
CELL_PARAMETERS angstrom
-1.634 1.689 5.540
1.634 -1.689 5.540
1.634 1.689 -5.540
ATOMIC_POSITIONS angstrom
Zr 0.000 0.000 0.000
Mn 1.634 0.000 2.769
P 0.000 0.000 4.409
P 0.000 1.689 2.018
```